The following is a PBEsol calculation of an optimized crystal structure of YHO2, from Alexandria.

```
YHO2
1.0
-3.361 0.538 0.736
2.106 -1.396 2.397
2.016 8.353 3.095
Y O H
2 4 2
Direct
0.000 0.000 0.500 Y
0.000 0.000 0.000 Y
0.333 0.667 0.383 O
0.333 0.667 0.117 O
0.667 0.333 0.883 O
0.667 0.333 0.617 O
0.333 0.667 0.250 H
0.667 0.333 0.750 H
```

Calculated values
* E_tot: -7.777 eV/atom
* spin magnetization: 0.00 μB/f.u.
* crystal system: hexagonal
* symmetry: P6_3/mmc, No. 194
* DOS at the Fermi energy: 0.000 states/eV per atom

The following is a PBEsol calculation of an optimized crystal structure of YHO2, from Alexandria.

```
YHO2
1.0
-2.685 -0.619 -2.138
0.370 -2.215 -2.669
-2.104 -4.382 1.065
H O Y
1 2 1
Direct
0.000 0.000 0.000 H
0.911 0.911 0.268 O
0.089 0.089 0.732 O
0.500 0.500 0.500 Y
```

Calculated values
* E_tot: -7.783 eV/atom
* spin magnetization: 0.00 μB/f.u.
* crystal system: trigonal
* symmetry: R-3m, No. 166
* DOS at the Fermi energy: 0.000 states/eV per atom